No. 1
TlAs2Pb: relaxed, PBE.

Cell: 4.8163 3.6802 6.5272 Å, 90.00 104.10 90.00°
Element x y z (fractional)
Tl1 0.0000 0.0000 0.0000
As1 0.1681 0.0000 0.5397
As2 0.4323 0.5000 0.7908
Pb1 0.5991 0.5000 0.3792

total magnetization: 0.0 μB/cell
ΔE_f: 0.06 eV per atom
VASP energy: -3.7844 eV per atom

=====

No. 2
TlAs2Pb: relaxed, PBE.

Cell: 5.2111 5.2111 5.2111 Å, 60.00 60.00 60.00°
Element x y z (fractional)
Tl1 0.0000 0.0000 0.0000
As1 0.2500 0.2500 0.2500
As2 0.5000 0.5000 0.5000
Pb1 0.7500 0.7500 0.7500

total magnetization: 0.0 μB/cell
ΔE_f: 0.32 eV per atom
VASP energy: -3.5272 eV per atom

=====

No. 3
Tl5As4Pb4: relaxed, PBE.

Cell: 9.0193 9.0193 9.0193 Å, 94.54 94.54 147.31°
Element x y z (fractional)
Tl1 0.0000 0.0000 0.0000
Tl2 0.3166 0.3845 0.7011
Tl3 0.3845 0.6834 0.0678
Tl4 0.6155 0.3166 0.9322
Tl5 0.6834 0.6155 0.2989
As1 0.0921 0.2542 0.3463
As2 0.2542 0.9079 0.1621
As3 0.7458 0.0921 0.8379
As4 0.9079 0.7458 0.6537
Pb1 0.1023 0.6031 0.7054
Pb2 0.3969 0.1023 0.4991
Pb3 0.6031 0.8977 0.5009
Pb4 0.8977 0.3969 0.2946

total magnetization: 0.0 μB/cell
ΔE_f: 0.04 eV per atom
VASP energy: -3.4463 eV per atom

=====

No. 4
TlAs2Pb: relaxed, PBE.

Cell: 3.2829 3.2829 9.6476 Å, 90.00 90.00 91.21°
Element x y z (fractional)
Tl1 0.0000 0.0000 0.0000
As1 0.5000 0.5000 0.2630
As2 0.5000 0.5000 0.7370
Pb1 0.0000 0.0000 0.5000

total magnetization: 0.0 μB/cell
ΔE_f: 0.24 eV per atom
VASP energy: -3.5989 eV per atom

=====

No. 5
TlAs2Pb: relaxed, PBE.

Cell: 5.9493 5.9493 6.0547 Å, 101.42 101.42 34.99°
Element x y z (fractional)
Tl1 0.0000 0.0000 0.0000
As1 0.2499 0.2499 0.6449
As2 0.7501 0.7501 0.3551
Pb1 0.5000 0.5000 0.5000

total magnetization: 0.0 μB/cell
ΔE_f: 0.07 eV per atom
VASP energy: -3.7708 eV per atom

=====

No. 6
TlAs2Pb: relaxed, PBE.

Cell: 5.9331 5.9331 5.9331 Å, 135.25 135.25 65.14°
Element x y z (fractional)
Tl1 0.0000 0.0000 0.0000
As1 0.2500 0.7500 0.5000
As2 0.5000 0.5000 0.0000
Pb1 0.7500 0.2500 0.5000

total magnetization: 0.0 μB/cell
ΔE_f: 0.28 eV per atom
VASP energy: -3.5589 eV per atom

=====

No. 7
Tl2AsPb: relaxed, PBE.

Cell: 5.4283 5.4283 5.4283 Å, 60.00 60.00 60.00°
Element x y z (fractional)
Tl1 0.2500 0.2500 0.2500
Tl2 0.7500 0.7500 0.7500
As1 0.0000 0.0000 0.0000
Pb1 0.5000 0.5000 0.5000

total magnetization: 0.0 μB/cell
ΔE_f: 0.19 eV per atom
VASP energy: -3.0790 eV per atom

=====

No. 8
Tl2AsPb: relaxed, PBE.

Cell: 7.9675 7.9675 7.9675 Å, 128.91 128.91 75.15°
Element x y z (fractional)
Tl1 0.0920 0.6250 0.9670
Tl2 0.3750 0.3420 0.4670
Tl3 0.6580 0.1250 0.0330
Tl4 0.8750 0.9080 0.5330
As1 0.0000 0.0000 0.0000
As2 0.7500 0.2500 0.5000
Pb1 0.2500 0.7500 0.5000
Pb2 0.5000 0.5000 0.0000

total magnetization: 0.0 μB/cell
ΔE_f: 0.24 eV per atom
VASP energy: -3.0305 eV per atom

=====

No. 9
TlAs2Pb: relaxed, PBE.

Cell: 5.2310 5.2310 5.2310 Å, 60.00 60.00 60.00°
Element x y z (fractional)
Tl1 0.0000 0.0000 0.0000
As1 0.2500 0.2500 0.2500
As2 0.7500 0.7500 0.7500
Pb1 0.5000 0.5000 0.5000

total magnetization: 0.0 μB/cell
ΔE_f: 0.25 eV per atom
VASP energy: -3.5936 eV per atom

=====

No. 10
TlAs2Pb: relaxed, PBE.

Cell: 5.6282 5.6282 5.6282 Å, 129.92 129.92 73.53°
Element x y z (fractional)
Tl1 0.0000 0.0000 0.0000
As1 0.2500 0.7500 0.5000
As2 0.7500 0.2500 0.5000
Pb1 0.5000 0.5000 0.0000

total magnetization: 0.0 μB/cell
ΔE_f: 0.24 eV per atom
VASP energy: -3.6030 eV per atom

=====

No. 11
Tl4As2Pb: relaxed, PBE.

Cell: 7.0436 6.6326 9.1824 Å, 90.00 100.42 90.00°
Element x y z (fractional)
Tl1 0.0202 0.2500 0.4574
Tl2 0.1762 0.7500 0.2421
Tl3 0.2591 0.9998 0.9132
Tl4 0.2591 0.5002 0.9132
Tl5 0.7409 0.0002 0.0868
Tl6 0.7409 0.4998 0.0868
Tl7 0.8238 0.2500 0.7579
Tl8 0.9798 0.7500 0.5426
As1 0.1212 0.2500 0.1697
As2 0.4016 0.2500 0.6539
As3 0.5984 0.7500 0.3461
As4 0.8788 0.7500 0.8303
Pb1 0.4939 0.7500 0.6383
Pb2 0.5061 0.2500 0.3617

total magnetization: 0.0 μB/cell
ΔE_f: 0.03 eV per atom
VASP energy: -3.1815 eV per atom

=====

No. 12
TlAsPb: relaxed, PBE.

Cell: 6.8540 6.8540 6.8540 Å, 148.60 148.60 45.00°
Element x y z (fractional)
Tl1 0.0000 0.0000 0.0000
As1 0.6566 0.6566 0.0000
Pb1 0.2785 0.2785 0.0000

total magnetization: 0.0 μB/cell
ΔE_f: 0.04 eV per atom
VASP energy: -3.5355 eV per atom

=====

Which formula does entry 2 have? TlAs2Pb

=====

Among the records above, which one has the lowest VASP energy? number 1

=====

What is the ΔE_f in the tenth record? 0.24 eV per atom

=====

What did the first record say?
TlAs2Pb: relaxed, PBE.

Cell: 4.8163 3.6802 6.5272 Å, 90.00 104.10 90.00°
Element x y z (fractional)
Tl1 0.0000 0.0000 0.0000
As1 0.1681 0.0000 0.5397
As2 0.4323 0.5000 0.7908
Pb1 0.5991 0.5000 0.3792

total magnetization: 0.0 μB/cell
ΔE_f: 0.06 eV per atom
VASP energy: -3.7844 eV per atom